Density functional theory data (PBE-GGA) for a geometry-optimized TcPbF2 structure.

abc: 3.1531 3.1531 24.9759
angles: 90.00 90.00 120.00
Last column: nearest neighbours and their distance in Å.
Space group R-3m (No. 166, hexagonal axes)
One atom of each set of equivalent atoms:
Tc 0.0000 0.0000 0.0000 (multiplicity 3)  2 F 2.00
Pb 0.0000 0.0000 0.5000 (multiplicity 3)  6 F 2.83, 6 Pb 3.15
F 0.0000 0.0000 0.0800 (multiplicity 6)  1 Tc 2.00

Summary:
Raw formation energy   -85.9 kJ per mole of atoms
E above lowest polymorph   0 kJ/mol of formula units
DOS at the Fermi energy   6.77 states/eV/cell

=====

Density functional theory data (PBE-GGA) for a geometry-optimized TcPbF2 structure.

abc: 6.3474 6.3474 6.3474
angles: 90.00 90.00 90.00
Last column: nearest neighbours and their distance in Å.
Space group Fm-3m (No. 225)
One atom of each set of equivalent atoms:
Tc 0.0000 0.0000 0.0000 (multiplicity 4)  8 F 2.75
Pb 0.0000 0.0000 0.5000 (multiplicity 4)  8 F 2.75
F 0.2500 0.2500 0.2500 (multiplicity 8)  4 Tc 2.75, 4 Pb 2.75

Summary:
Raw formation energy   -43.7 kJ per mole of atoms
E above lowest polymorph   169 kJ/mol of formula units
DOS at the Fermi energy   5.56 states/eV/cell

=====

Density functional theory data (PBE-GGA) for a geometry-optimized TcPbF3 structure.

abc: 4.3851 4.3851 4.3851
angles: 90.00 90.00 90.00
Last column: nearest neighbours and their distance in Å.
Space group Pm-3m (No. 221)
One atom of each set of equivalent atoms:
Tc 0.0000 0.0000 0.0000 (multiplicity 1)  6 F 2.19
Pb 0.5000 0.5000 0.5000 (multiplicity 1)  12 F 3.10
F 0.0000 0.0000 0.5000 (multiplicity 3)  2 Tc 2.19

Summary:
Raw formation energy   -102.4 kJ per mole of atoms
E above lowest polymorph   0 kJ/mol of formula units
DOS at the Fermi energy   4.31 states/eV/cell

=====

Density functional theory data (PBE-GGA) for a geometry-optimized Te3PbF structure.

abc: 5.0985 5.0985 5.0985
angles: 90.00 90.00 90.00
Last column: nearest neighbours and their distance in Å.
Space group Pm-3m (No. 221)
One atom of each set of equivalent atoms:
Te 0.0000 0.0000 0.5000 (multiplicity 3)  2 F 2.55
Pb 0.5000 0.5000 0.5000 (multiplicity 1)  12 Te 3.61
F 0.0000 0.0000 0.0000 (multiplicity 1)  6 Te 2.55

Summary:
Raw formation energy   -13.1 kJ per mole of atoms
E above lowest polymorph   0 kJ/mol of formula units
DOS at the Fermi energy   1.76 states/eV/cell

=====

Density functional theory data (PBE-GGA) for a geometry-optimized TePbF2 structure.

abc: 3.2867 3.2867 26.3821
angles: 90.00 90.00 120.00
Last column: nearest neighbours and their distance in Å.
Space group R-3m (No. 166, hexagonal axes)
One atom of each set of equivalent atoms:
Te 0.0000 0.0000 0.0000 (multiplicity 3)  6 F 2.79
Pb 0.0000 0.0000 0.5000 (multiplicity 3)  2 F 2.35
F 0.0000 0.0000 0.4108 (multiplicity 6)  1 Pb 2.35

Summary:
Raw formation energy   -98.2 kJ per mole of atoms
E above lowest polymorph   88 kJ/mol of formula units
DOS at the Fermi energy   8.18 states/eV/cell

=====

Density functional theory data (PBE-GGA) for a geometry-optimized Te3PbF structure.

abc: 5.8110 5.8110 5.8110
angles: 90.00 90.00 90.00
Last column: nearest neighbours and their distance in Å.
Space group Pm-3m (No. 221)
One atom of each set of equivalent atoms:
Te 0.0000 0.0000 0.5000 (multiplicity 3)  2 Pb 2.91
Pb 0.0000 0.0000 0.0000 (multiplicity 1)  6 Te 2.91
F 0.5000 0.5000 0.5000 (multiplicity 1)  12 Te 4.11

Summary:
Raw formation energy   50.4 kJ per mole of atoms
E above lowest polymorph   317 kJ/mol of formula units
DOS at the Fermi energy   5.47 states/eV/cell

=====

Density functional theory data (PBE-GGA) for a geometry-optimized TePb3F structure.

abc: 5.2495 5.2495 5.2495
angles: 90.00 90.00 90.00
Last column: nearest neighbours and their distance in Å.
Space group Pm-3m (No. 221)
One atom of each set of equivalent atoms:
Te 0.0000 0.0000 0.0000 (multiplicity 1)  12 Pb 3.71
Pb 0.0000 0.5000 0.5000 (multiplicity 3)  2 F 2.62
F 0.5000 0.5000 0.5000 (multiplicity 1)  6 Pb 2.62

Summary:
Raw formation energy   -43.4 kJ per mole of atoms
E above lowest polymorph   0 kJ/mol of formula units
DOS at the Fermi energy   5.32 states/eV/cell

=====

Density functional theory data (PBE-GGA) for a geometry-optimized TePbF2 structure.

abc: 7.3739 7.3739 6.5976
angles: 90.00 90.00 90.00
Last column: nearest neighbours and their distance in Å.
Space group I-42d (No. 122)
One atom of each set of equivalent atoms:
Te 0.0000 0.0000 0.0000 (multiplicity 4)  8 F 3.11-3.36, 2 Pb 3.30
Pb 0.0000 0.0000 0.5000 (multiplicity 4)  4 F 2.41
F 0.1790 0.2500 0.6250 (multiplicity 8)  2 Pb 2.41

Summary:
Raw formation energy   -113.6 kJ per mole of atoms
E above lowest polymorph   26 kJ/mol of formula units
DOS at the Fermi energy   10.44 states/eV/cell

=====

| no. | total magnetic moment (μB/cell) |
| --- | --- |
| 1 | 8.58 |
| 2 | 12.00 |
| 3 | 3.04 |
| 4 | 0.00 |
| 5 | 0.00 |
| 6 | 1.40 |
| 7 | 0.00 |
| 8 | 0.00 |